# LiCrOF2 | Alexandria | PBE with a Hubbard U | optimized geometry
data_LiCrOF2
_symmetry_space_group_name_H-M 'P 1'
_symmetry_Int_Tables_number 1
_symmetry_space_group_name_Hall 'P 1'
_cell_length_a 3.474
_cell_length_b 3.474
_cell_length_c 3.993
_cell_angle_alpha 90.00
_cell_angle_beta 90.00
_cell_angle_gamma 90.00
loop_
_atom_site_label
_atom_site_type_symbol
_atom_site_fract_x
_atom_site_fract_y
_atom_site_fract_z
Cr1 Cr 0.500 0.500 0.500
Li1 Li 0.000 0.000 0.000
O1 O 0.000 0.000 0.500
F1 F 0.000 0.500 0.000
F2 F 0.500 0.000 0.000
# DOS at the Fermi energy = 2.92 states/eV/f.u.
# E above lowest polymorph = 604 meV per atom
# calculated density = 3.89 g/cm3